# 1
Below is CaTiNiP2O9 at its PBEsol-relaxed geometry, with properties calculated at the SCAN level.

```
data_CaTiNiP2O9
_chemical_formula_sum 'Ca4 Ti4 Ni4 P8 O36'
_cell_length_a 6.4108
_cell_length_b 7.2808
_cell_length_c 14.1405
_cell_angle_alpha 90.00
_cell_angle_beta 90.00
_cell_angle_gamma 90.00
_space_group_name_H-M_alt 'P 1'
_space_group_IT_number 1
loop_
_space_group_symop_operation_xyz
'x,y,z'
loop_
_atom_site_label
_atom_site_type_symbol
_atom_site_fract_x
_atom_site_fract_y
_atom_site_fract_z
Ca1 Ca 0.7500 0.8856 0.7846
Ca2 Ca 0.7500 0.6144 0.2846
Ca3 Ca 0.2500 0.1144 0.2154
Ca4 Ca 0.2500 0.3856 0.7154
Ti1 Ti 0.7500 0.3445 0.8808
Ti2 Ti 0.2500 0.6555 0.1192
Ti3 Ti 0.2500 0.8445 0.6192
Ti4 Ti 0.7500 0.1555 0.3808
Ni1 Ni 0.5000 0.0000 0.0000
Ni2 Ni 0.5000 0.5000 0.5000
Ni3 Ni 0.0000 0.5000 0.5000
Ni4 Ni 0.0000 0.0000 0.0000
P1 P 0.2500 0.3558 0.9336
P2 P 0.7500 0.6442 0.0664
P3 P 0.7500 0.8558 0.5664
P4 P 0.2500 0.1442 0.4336
P5 P 0.7500 0.3880 0.6878
P6 P 0.2500 0.6120 0.3122
P7 P 0.2500 0.8880 0.8122
P8 P 0.7500 0.1120 0.1878
O1 O 0.0502 0.6155 0.3720
O2 O 0.5502 0.3845 0.6280
O3 O 0.9498 0.1155 0.1280
O4 O 0.4498 0.8845 0.8720
O5 O 0.9498 0.3845 0.6280
O6 O 0.4498 0.6155 0.3720
O7 O 0.0502 0.8845 0.8720
O8 O 0.5502 0.1155 0.1280
O9 O 0.2500 0.3353 0.4793
O10 O 0.7500 0.6647 0.5207
O11 O 0.7500 0.8353 0.0207
O12 O 0.2500 0.1647 0.9793
O13 O 0.7500 0.1324 0.9386
O14 O 0.2500 0.8676 0.0614
O15 O 0.2500 0.6324 0.5614
O16 O 0.7500 0.3676 0.4386
O17 O 0.7500 0.2143 0.7545
O18 O 0.2500 0.7857 0.2455
O19 O 0.2500 0.7143 0.7455
O20 O 0.7500 0.2857 0.2545
O21 O 0.4404 0.1228 0.3671
O22 O 0.9404 0.8772 0.6329
O23 O 0.5596 0.6228 0.1329
O24 O 0.0596 0.3772 0.8671
O25 O 0.5596 0.8772 0.6329
O26 O 0.0596 0.1228 0.3671
O27 O 0.4404 0.3772 0.8671
O28 O 0.9404 0.6228 0.1329
O29 O 0.7500 0.9539 0.2622
O30 O 0.2500 0.0461 0.7378
O31 O 0.2500 0.4539 0.2378
O32 O 0.7500 0.5461 0.7622
O33 O 0.7500 0.0016 0.4889
O34 O 0.2500 0.9984 0.5111
O35 O 0.2500 0.5016 0.0111
O36 O 0.7500 0.4984 0.9889
```



# 2
# MoIr3 | Alexandria via LeMat-Bulk | SCAN | single point on PBEsol structure
data_MoIr3
_chemical_formula_sum 'Mo2 Ir6'
_cell_length_a 3.8494
_cell_length_b 3.8494
_cell_length_c 8.1580
_cell_angle_alpha 103.65
_cell_angle_beta 103.65
_cell_angle_gamma 90.00
_space_group_name_H-M_alt 'P 1'
_space_group_IT_number 1
loop_
_space_group_symop_operation_xyz
'x,y,z'
loop_
_atom_site_label
_atom_site_type_symbol
_atom_site_fract_x
_atom_site_fract_y
_atom_site_fract_z
Ir1 Ir 0.5000 0.0000 0.0000
Ir2 Ir 0.0000 0.5000 0.0000
Ir3 Ir 0.2500 0.7500 0.5000
Ir4 Ir 0.7500 0.2500 0.5000
Ir5 Ir 0.8779 0.8779 0.7557
Ir6 Ir 0.1221 0.1221 0.2443
Mo1 Mo 0.6279 0.6279 0.2558
Mo2 Mo 0.3721 0.3721 0.7442
# DFT formation energy ... -343 meV per atom



# 3
# LiCa3 | Alexandria via LeMat-Bulk | SCAN | single point on PBEsol structure
data_LiCa3
_chemical_formula_sum 'Li1 Ca3'
_cell_length_a 3.8036
_cell_length_b 3.8036
_cell_length_c 11.9627
_cell_angle_alpha 80.85
_cell_angle_beta 80.85
_cell_angle_gamma 60.00
_space_group_name_H-M_alt 'P 1'
_space_group_IT_number 1
loop_
_space_group_symop_operation_xyz
'x,y,z'
loop_
_atom_site_label
_atom_site_type_symbol
_atom_site_fract_x
_atom_site_fract_y
_atom_site_fract_z
Ca1 Ca 0.7440 0.7440 0.7681
Ca2 Ca 0.5000 0.5000 0.5000
Ca3 Ca 0.2560 0.2560 0.2319
Li1 Li 0.0000 0.0000 0.0000
# DFT formation energy ... 62 meV per atom



Which electronic total energy belongs to each record? In order, -11.255 -62.389 -7.783 eV/atom.
Which total magnetization belongs to each record? In order, 0.141 0.000 0.082 μB/atom.